1.
{
  "formula": "Tl2AgCl2",
  "functional": "GGA-PBEsol",
  "state": "relaxed",
  "lattice_angstrom": [[4.635, 0.000, 0.000], [0.000, 4.635, 0.000], [-2.318, -2.318, 6.901]],
  "species": ["Cl", "Cl", "Tl", "Tl", "Ag"],
  "fractional_positions": [[0.750, 0.250, 0.500], [0.250, 0.750, 0.500], [0.624, 0.624, 0.249], [0.376, 0.376, 0.751], [0.000, 0.000, 0.000]],
  "raw_formation_energy_kcal_per_mol_atoms": -3.7
}

2.
{
  "formula": "RbAlNiF6",
  "functional": "GGA-PBEsol",
  "state": "relaxed",
  "lattice_angstrom": [[7.024, 0.000, 0.000], [3.512, 6.077, 0.018], [3.512, 1.996, 5.740]],
  "species": ["Ni", "Ni", "F", "F", "F", "F", "F", "F", "F", "F", "F", "F", "F", "F", "Rb", "Rb", "Al", "Al"],
  "fractional_positions": [[0.500, 0.000, 0.000], [0.500, 0.500, 0.500], [0.203, 0.047, 0.547], [0.161, 0.693, 0.559], [0.413, 0.307, 0.441], [0.587, 0.693, 0.559], [0.587, 0.059, 0.193], [0.839, 0.307, 0.441], [0.413, 0.941, 0.807], [0.797, 0.953, 0.453], [0.412, 0.338, 0.838], [0.588, 0.662, 0.162], [0.161, 0.059, 0.193], [0.839, 0.941, 0.807], [0.125, 0.625, 0.125], [0.875, 0.375, 0.875], [0.500, 0.000, 0.500], [0.000, 0.000, 0.500]],
  "raw_formation_energy_kcal_per_mol_atoms": -64.8
}

3.
{
  "formula": "Mo2AsRh",
  "functional": "GGA-PBEsol",
  "state": "relaxed",
  "lattice_angstrom": [[-0.355, -2.371, 1.914], [3.837, 0.926, 1.859], [-3.758, 3.335, 0.975]],
  "species": ["As", "Mo", "Mo", "Rh"],
  "fractional_positions": [[0.000, 0.500, 0.000], [0.730, 0.730, 0.460], [0.270, 0.270, 0.540], [0.500, 0.000, 0.000]],
  "dft_energy_ev_per_atom": -9.24
}

4.
{
  "formula": "RbSnN3",
  "functional": "GGA-PBEsol",
  "state": "relaxed",
  "lattice_angstrom": [[4.447, 0.000, 0.000], [0.000, 4.447, 0.000], [0.000, 0.000, 4.447]],
  "species": ["Sn", "Rb", "N", "N", "N"],
  "fractional_positions": [[0.500, 0.500, 0.500], [0.000, 0.000, 0.000], [0.000, 0.000, 0.500], [0.000, 0.500, 0.000], [0.500, 0.000, 0.000]],
  "raw_formation_energy_kcal_per_mol_atoms": 65.6
}

5.
{
  "formula": "SiAu8",
  "functional": "GGA-PBEsol",
  "state": "relaxed",
  "lattice_angstrom": [[-1.981, -3.238, 1.357], [4.316, -4.232, 2.189], [-1.324, 0.910, 6.225]],
  "species": ["Au", "Au", "Au", "Au", "Au", "Au", "Au", "Au", "Si"],
  "fractional_positions": [[0.337, 0.000, 0.326], [0.000, 0.670, 0.330], [0.663, 0.000, 0.674], [0.330, 0.670, 0.670], [0.670, 0.330, 0.330], [0.000, 0.330, 0.670], [0.337, 0.326, 0.000], [0.663, 0.674, 0.000], [0.000, 0.000, 0.000]],
  "raw_formation_energy_kcal_per_mol_atoms": 1.2
}

6.
{
  "formula": "SrCuAg2",
  "functional": "GGA-PBEsol",
  "state": "relaxed",
  "lattice_angstrom": [[4.450, 0.000, 0.000], [2.225, 3.854, 0.000], [2.225, 1.285, 5.264]],
  "species": ["Sr", "Ag", "Ag", "Cu"],
  "fractional_positions": [[0.000, 0.000, 0.000], [0.201, 0.201, 0.397], [0.799, 0.799, 0.603], [0.500, 0.500, 0.500]],
  "dft_energy_ev_per_atom": -3.28
}

7.
{
  "formula": "Ta2AgP",
  "functional": "GGA-PBEsol",
  "state": "relaxed",
  "lattice_angstrom": [[-1.956, -1.125, 2.510], [-1.025, -2.690, -2.004], [5.124, -2.495, 0.729]],
  "species": ["Ta", "Ta", "Ag", "P"],
  "fractional_positions": [[0.577, 0.500, 0.248], [0.902, 0.000, 0.960], [0.197, 0.000, 0.496], [0.324, 0.500, 0.796]],
  "dft_energy_ev_per_atom": -8.64
}

8.
{
  "formula": "TaMnH2",
  "functional": "GGA-PBEsol",
  "state": "relaxed",
  "lattice_angstrom": [[-0.131, -3.840, -0.879], [3.326, -0.579, 2.034], [-3.917, 1.468, 3.004]],
  "species": ["H", "H", "H", "H", "Ta", "Ta", "Mn", "Mn"],
  "fractional_positions": [[0.433, 0.875, 0.250], [0.125, 0.183, 0.750], [0.625, 0.567, 0.750], [0.817, 0.375, 0.250], [0.000, 0.000, 0.000], [0.250, 0.750, 0.500], [0.750, 0.250, 0.500], [0.500, 0.500, 0.000]],
  "dft_energy_ev_per_atom": -7.24
}

Computed theoretical density (g/cm3) in order:
6.58 3.87 10.50 4.65 17.73 6.75 12.73 11.74